Crystalline K2MgMnBi at its relaxed geometry, computed with PBE.

a b c (Å): 6.7303 5.0961 6.7303
angles (deg): 90.00 90.00 90.00
Closest atoms and distances in Å follow each position.
Element x y z (fractional)
Mg1 0.5000 0.5000 0.5000  8 K 4.22
K1 0.5000 0.0000 0.0000  2 Mn 3.37
Bi1 0.0000 0.5000 0.0000  2 Mn 2.55
Mn1 0.0000 0.0000 0.0000  2 Bi 2.55
K2 0.0000 0.0000 0.5000  2 Mn 3.37

Computed properties:
The formation energy is 0.42 eV per atom. The density of states at the Fermi level comes out at 0.87 states/eV per cell. For the total energy, the calculation gives -2.952 eV/atom. As for the space-group type: P4/mmm (123).

***

Crystalline KNa2MgBi at its relaxed geometry, computed with PBE.

a b c (Å): 6.1006 6.1006 5.9236
angles (deg): 90.00 90.00 90.00
Closest atoms and distances in Å follow each position.
Element x y z (fractional)
K1 0.5000 0.5000 0.5000  8 Na 4.25, 4 Mg 4.31
Na1 0.5000 0.0000 0.0000  2 Bi 3.05
Na2 0.0000 0.5000 0.0000  2 Bi 3.05
Bi1 0.0000 0.0000 0.0000  2 Mg 2.96, 4 Na 3.05
Mg1 0.0000 0.0000 0.5000  2 Bi 2.96

Computed properties:
The formation energy is -0.06 eV per atom. The density of states at the Fermi level comes out at 2.59 states/eV per cell. For the total energy, the calculation gives -1.903 eV/atom. As for the space-group type: P4/mmm (123).

***

Crystalline K2NaMg3Bi4 at its relaxed geometry, computed with PBE.

a b c (Å): 5.1211 5.1211 12.5995
angles (deg): 90.00 90.00 90.00
Closest atoms and distances in Å follow each position.
Element x y z (fractional)
Bi1 0.5000 0.5000 0.0000  4 Mg 3.09
K1 0.0000 0.5000 0.7469  8 Bi 3.88-4.09, 6 Mg 3.91-4.03, 2 Na 4.03
Bi2 0.5000 0.0000 0.6365  3 Mg 2.85-3.08, 2 Na 3.08
Bi3 0.0000 0.0000 0.0000  4 Mg 3.09
Bi4 0.0000 0.5000 0.3635  3 Mg 2.85-3.08, 2 Na 3.08
Mg1 0.5000 0.0000 0.8630  5 Bi 2.85-3.09
Na1 0.5000 0.5000 0.5000  4 Bi 3.08
K2 0.5000 0.0000 0.2531  8 Bi 3.88-4.09, 6 Mg 3.91-4.03, 2 Na 4.03
Mg2 0.0000 0.0000 0.5000  4 Bi 3.08
Mg3 0.0000 0.5000 0.1370  5 Bi 2.85-3.09

Computed properties:
The formation energy is -0.34 eV per atom. The density of states at the Fermi level comes out at 2.97 states/eV per cell. For the total energy, the calculation gives -2.722 eV/atom. As for the space-group type: P-4m2 (115).

***

Crystalline K2MgBiO4 at its relaxed geometry, computed with PBE.

a b c (Å): 6.0188 6.0250 5.9813
angles (deg): 120.38 120.35 89.77
Closest atoms and distances in Å follow each position.
Element x y z (fractional)
K1 0.2367 0.2367 0.4734  4 O 2.75
K2 0.4869 0.9869 0.9739  4 O 2.75
Bi1 0.7362 0.7362 0.4724  4 O 2.15
O1 0.0302 0.1281 0.7388  1 Mg 2.00, 1 Bi 2.15
O2 0.3431 0.7615 0.2024  1 Mg 2.00, 1 Bi 2.15
O3 0.8593 0.4409 0.2023  1 Mg 2.00, 1 Bi 2.15
Mg1 0.9860 0.4860 0.9721  4 O 2.00
O4 0.7087 0.6108 0.7388  1 Mg 2.00, 1 Bi 2.15

Computed properties:
The uncorrected formation energy is -1.581 eV/atom. The density of states at the Fermi level comes out at 2.02 states/eV per cell. For the total energy, the calculation gives -5.019 eV/atom. As for the space-group type: C2 (5).

***

Crystalline KPrMgBiO6 at its relaxed geometry, computed with PBE.

a b c (Å): 5.8217 5.8217 5.8217
angles (deg): 60.00 60.00 60.00
Closest atoms and distances in Å follow each position.
Element x y z (fractional)
Pr1 0.2500 0.2500 0.2500  12 O 2.91
O1 0.2537 0.7463 0.7463  1 Mg 2.03, 1 Bi 2.09
Bi1 0.0000 0.0000 0.0000  6 O 2.09
O2 0.2537 0.7463 0.2537  1 Mg 2.03, 1 Bi 2.09
Mg1 0.5000 0.5000 0.5000  6 O 2.03
K1 0.7500 0.7500 0.7500  12 O 2.91
O3 0.7463 0.7463 0.2537  1 Mg 2.03, 1 Bi 2.09
O4 0.2537 0.2537 0.7463  1 Mg 2.03, 1 Bi 2.09
O5 0.7463 0.2537 0.7463  1 Mg 2.03, 1 Bi 2.09
O6 0.7463 0.2537 0.2537  1 Mg 2.03, 1 Bi 2.09

Computed properties:
The uncorrected formation energy is -1.723 eV/atom. The density of states at the Fermi level comes out at 4.21 states/eV per cell. For the total energy, the calculation gives -5.833 eV/atom. As for the space-group type: F-43m (216).

***

Crystalline K2Mg4BiPb3 at its relaxed geometry, computed with PBE.

a b c (Å): 4.9245 4.9245 13.0732
angles (deg): 90.00 90.00 90.00
Closest atoms and distances in Å follow each position.
Element x y z (fractional)
K1 0.5000 0.0000 0.2425  6 Pb 3.77-4.17, 8 Mg 3.77-4.01, 2 Bi 4.17
Pb1 0.0000 0.5000 0.1330  5 Mg 2.89-3.01
K2 0.0000 0.5000 0.7575  6 Pb 3.77-4.17, 8 Mg 3.77-4.01, 2 Bi 4.17
Bi1 0.5000 0.5000 0.5000  4 Mg 3.12, 4 Pb 3.48
Mg1 0.0000 0.0000 0.0000  4 Pb 3.01
Pb2 0.0000 0.0000 0.5000  4 Mg 3.12, 4 Bi 3.48
Mg2 0.0000 0.5000 0.3539  3 Pb 2.89-3.12, 2 Bi 3.12
Pb3 0.5000 0.0000 0.8670  5 Mg 2.89-3.01
Mg3 0.5000 0.5000 0.0000  4 Pb 3.01
Mg4 0.5000 0.0000 0.6461  3 Pb 2.89-3.12, 2 Bi 3.12

Computed properties:
The formation energy is -0.16 eV per atom. The density of states at the Fermi level comes out at 3.86 states/eV per cell. For the total energy, the calculation gives -2.520 eV/atom. As for the space-group type: P-4m2 (115).

***

Crystalline K2Mg5Bi3Pb2 at its relaxed geometry, computed with PBE.

a b c (Å): 5.5091 5.5091 13.9647
angles (deg): 101.38 101.38 90.00
Closest atoms and distances in Å follow each position.
Element x y z (fractional)
Bi1 0.0000 0.0000 0.0000  8 Mg 3.23, 2 Bi 3.35
Mg1 0.9369 0.4369 0.8738  2 Pb 3.08, 4 Bi 3.22-3.23, 3 Mg 3.23-3.38
K1 0.2604 0.2604 0.5208  1 Pb 3.35, 1 Bi 3.63
Pb1 0.6148 0.6148 0.2295  5 Mg 3.08, 1 K 3.35
K2 0.7396 0.7396 0.4792  1 Pb 3.35, 1 Bi 3.63
Bi2 0.8750 0.8750 0.7500  4 Mg 3.22, 1 Bi 3.35
Bi3 0.1250 0.1250 0.2500  4 Mg 3.22, 1 Bi 3.35
Mg2 0.5631 0.0631 0.1262  2 Pb 3.08, 4 Bi 3.22-3.23, 3 Mg 3.23-3.38
Pb2 0.3852 0.3852 0.7705  5 Mg 3.08, 1 K 3.35
Mg3 0.5000 0.5000 0.0000  2 Pb 3.08, 8 Mg 3.23
Mg4 0.0631 0.5631 0.1262  2 Pb 3.08, 4 Bi 3.22-3.23, 3 Mg 3.23-3.38
Mg5 0.4369 0.9369 0.8738  2 Pb 3.08, 4 Bi 3.22-3.23, 3 Mg 3.23-3.38

Computed properties:
The formation energy is -0.04 eV per atom. The density of states at the Fermi level comes out at 5.24 states/eV per cell. For the total energy, the calculation gives -2.480 eV/atom. As for the space-group type: I4/mmm (139).

***

Crystalline K2RbMgBi at its relaxed geometry, computed with PBE.

a b c (Å): 7.0152 7.0152 5.7988
angles (deg): 90.00 90.00 90.00
Closest atoms and distances in Å follow each position.
Element x y z (fractional)
Bi1 0.0000 0.0000 0.0000  2 Mg 2.90
Mg1 0.0000 0.0000 0.5000  2 Bi 2.90
K1 0.0000 0.5000 0.0000  2 Bi 3.51
K2 0.5000 0.0000 0.0000  2 Bi 3.51
Rb1 0.5000 0.5000 0.5000  8 K 4.55, 4 Mg 4.96

Computed properties:
The formation energy is -0.08 eV per atom. The density of states at the Fermi level comes out at 3.70 states/eV per cell. For the total energy, the calculation gives -1.803 eV/atom. As for the space-group type: P4/mmm (123).

***

Crystalline KMgReBi2 at its relaxed geometry, computed with PBE.

a b c (Å): 5.6143 5.1624 5.6143
angles (deg): 90.00 90.00 90.00
Closest atoms and distances in Å follow each position.
Element x y z (fractional)
Re1 0.0000 0.5000 0.0000  2 Mg 2.58
Mg1 0.0000 0.0000 0.0000  2 Re 2.58, 4 Bi 2.81
Bi1 0.5000 0.0000 0.0000  2 Mg 2.81
K1 0.5000 0.5000 0.5000  8 Bi 3.81, 4 Re 3.97
Bi2 0.0000 0.0000 0.5000  2 Mg 2.81

Computed properties:
The formation energy is 1.07 eV per atom. The density of states at the Fermi level comes out at 4.40 states/eV per cell. For the total energy, the calculation gives -3.507 eV/atom. As for the space-group type: P4/mmm (123).

***

Crystalline K3MgBi2S6 at its relaxed geometry, computed with PBE.

a b c (Å): 6.9819 6.9819 7.7876
angles (deg): 98.61 98.61 120.01
Closest atoms and distances in Å follow each position.
Element x y z (fractional)
S1 0.7492 0.7492 0.2031  1 Mg 2.69, 2 Bi 2.81
S2 0.0673 0.3857 0.2019  1 Mg 2.68, 2 Bi 2.81-2.82
S3 0.6143 0.9327 0.7981  1 Mg 2.68, 2 Bi 2.81-2.82
K1 0.1707 0.8293 0.5000  6 S 3.18-3.26
Bi1 0.6662 0.3338 0.0000  6 S 2.81-2.82
S4 0.3857 0.0673 0.2019  1 Mg 2.68, 2 Bi 2.81-2.82
Bi2 0.3338 0.6662 0.0000  6 S 2.81-2.82
S5 0.9327 0.6143 0.7981  1 Mg 2.68, 2 Bi 2.81-2.82
Mg1 0.0000 0.0000 0.0000  6 S 2.68-2.69
K2 0.5000 0.5000 0.5000  6 S 3.18-3.28
K3 0.8293 0.1707 0.5000  6 S 3.18-3.26
S6 0.2508 0.2508 0.7969  1 Mg 2.69, 2 Bi 2.81

Computed properties:
The uncorrected formation energy is -0.869 eV/atom. The density of states at the Fermi level comes out at 7.67 states/eV per cell. For the total energy, the calculation gives -3.987 eV/atom. As for the space-group type: C2/m (12).

***

Crystalline KMgBiS3 at its relaxed geometry, computed with PBE.

a b c (Å): 4.1386 9.2201 9.5263
angles (deg): 102.85 90.00 90.00
Closest atoms and distances in Å follow each position.
Element x y z (fractional)
S1 0.2500 0.5689 0.8569  3 Bi 2.61-2.92
S2 0.7500 0.4311 0.1431  3 Bi 2.61-2.92
Mg1 0.7500 0.9057 0.3982  4 S 2.44-2.50
K1 0.7500 0.8161 0.7838  7 S 3.27-3.57
Bi1 0.7500 0.3468 0.8623  5 S 2.61-2.92
Bi2 0.2500 0.6532 0.1377  5 S 2.61-2.92
S3 0.2500 0.8213 0.4947  3 Mg 2.46-2.50
S4 0.2500 0.1391 0.8643  1 Mg 2.44
K2 0.2500 0.1839 0.2162  7 S 3.27-3.57
S5 0.7500 0.8609 0.1357  1 Mg 2.44
Mg2 0.2500 0.0943 0.6018  4 S 2.44-2.50
S6 0.7500 0.1787 0.5053  3 Mg 2.46-2.50

Computed properties:
The uncorrected formation energy is -0.970 eV/atom. The density of states at the Fermi level comes out at 0.00 states/eV per cell. For the total energy, the calculation gives -4.129 eV/atom. As for the space-group type: P2_1/m (11).

***

Crystalline KMg2BiS at its relaxed geometry, computed with PBE.

a b c (Å): 5.0652 5.9679 5.0652
angles (deg): 90.00 90.00 90.00
Closest atoms and distances in Å follow each position.
Element x y z (fractional)
S1 0.0000 0.0000 0.0000  4 Mg 2.53
Bi1 0.0000 0.5000 0.0000  2 S 2.98
Mg1 0.0000 0.0000 0.5000  2 S 2.53
K1 0.5000 0.5000 0.5000  4 Bi 3.58, 8 Mg 3.91
Mg2 0.5000 0.0000 0.0000  2 S 2.53

Computed properties:
The uncorrected formation energy is -0.141 eV/atom. The density of states at the Fermi level comes out at 1.90 states/eV per cell. For the total energy, the calculation gives -2.600 eV/atom. As for the space-group type: P4/mmm (123).